No. 1
A plane-wave DFT calculation with PBE was carried out for Sc6P2H after structural relaxation.

Cell: 5.7759 6.7241 10.1366 Å, 90.00 123.84 90.00°
With the nearest neighbours (Å) after each atom.
Sites, in units of the cell vectors:
Sc1 0.0934 0.1834 0.4497  1 H 2.32
Sc2 0.0934 0.3166 0.9497  1 H 2.32
Sc3 0.3073 0.6787 0.4499  1 H 2.42, 2 P 2.69
Sc4 0.3073 0.8213 0.9499  1 H 2.42, 2 P 2.69
Sc5 0.3988 0.0269 0.2539  1 H 2.32
Sc6 0.3988 0.4731 0.7539  1 H 2.32
Sc7 0.6012 0.5269 0.2461  1 H 2.32
Sc8 0.6012 0.9731 0.7461  1 H 2.32
Sc9 0.6927 0.1787 0.0501  1 H 2.42, 2 P 2.69
Sc10 0.6927 0.3213 0.5501  1 H 2.42, 2 P 2.69
Sc11 0.9066 0.6834 0.0503  1 H 2.32
Sc12 0.9066 0.8166 0.5503  1 H 2.32
P1 0.1732 0.1255 0.7474  8 Sc 2.66-2.88
P2 0.1732 0.3745 0.2474  8 Sc 2.66-2.88
P3 0.8268 0.6255 0.7526  8 Sc 2.66-2.88
P4 0.8268 0.8745 0.2526  8 Sc 2.66-2.88
H1 0.0000 0.0000 0.0000  6 Sc 2.32-2.42
H2 0.0000 0.5000 0.5000  6 Sc 2.32-2.42

No. 2
A plane-wave DFT calculation with PBE was carried out for ScPH after structural relaxation.

Cell: 3.7053 3.7053 6.8944 Å, 90.00 90.00 120.00°
With the nearest neighbours (Å) after each atom.
Sites, in units of the cell vectors:
Sc1 0.0000 0.0000 0.0000  6 H 2.14-2.20
Sc2 0.0000 0.0000 0.4837  6 P 2.64-2.65
P1 0.6667 0.3333 0.2570  1 H 2.29
P2 0.6667 0.3333 0.7090  1 H 1.48
H1 0.3333 0.6667 0.9978  3 Sc 2.14, 3 H 2.20
H2 0.6667 0.3333 0.9243  1 P 1.48

No. 3
A plane-wave DFT calculation with PBE was carried out for Sc8P3HSe4 after structural relaxation.

Cell: 7.6139 7.6139 7.6139 Å, 59.03 59.03 59.03°
With the nearest neighbours (Å) after each atom.
Sites, in units of the cell vectors:
Sc1 0.2379 0.7458 0.7458  2 P 2.58, 1 H 2.63, 3 Se 2.72-2.76
Sc2 0.2412 0.2412 0.2412  3 P 2.58, 3 Se 2.77
Sc3 0.2542 0.2542 0.7621  2 P 2.58, 1 H 2.63, 3 Se 2.72-2.76
Sc4 0.2542 0.7621 0.2542  2 P 2.58, 1 H 2.63, 3 Se 2.72-2.76
Sc5 0.7458 0.2379 0.7458  2 P 2.58, 1 H 2.63, 3 Se 2.72-2.76
Sc6 0.7458 0.7458 0.2379  2 P 2.58, 1 H 2.63, 3 Se 2.72-2.76
Sc7 0.7588 0.7588 0.7588  3 P 2.58, 3 Se 2.77
Sc8 0.7621 0.2542 0.2542  2 P 2.58, 1 H 2.63, 3 Se 2.72-2.76
P1 0.0000 0.0000 0.5000  6 Sc 2.58
P2 0.0000 0.5000 0.0000  6 Sc 2.58
P3 0.5000 0.0000 0.0000  6 Sc 2.58
H1 0.5000 0.5000 0.5000  6 Sc 2.63
Se1 0.0000 0.0000 0.0000  6 Sc 2.72
Se2 0.0000 0.5000 0.5000  6 Sc 2.76-2.77
Se3 0.5000 0.0000 0.5000  6 Sc 2.76-2.77
Se4 0.5000 0.5000 0.0000  6 Sc 2.76-2.77

No. 4
A plane-wave DFT calculation with PBE was carried out for SrScPH2 after structural relaxation.

Cell: 6.2458 6.2458 7.1822 Å, 90.00 90.00 144.60°
With the nearest neighbours (Å) after each atom.
Sites, in units of the cell vectors:
Sr1 0.2324 0.7676 0.7500  6 H 2.47-2.50
Sr2 0.7676 0.2324 0.2500  6 H 2.47-2.50
Sc1 0.5000 0.5000 0.0000  2 H 2.04
Sc2 0.5000 0.5000 0.5000  2 H 2.04
P1 0.0413 0.9587 0.2500  4 Sc 2.66
P2 0.9587 0.0413 0.7500  4 Sc 2.66
H1 0.3318 0.6682 0.0566  1 Sc 2.04
H2 0.3318 0.6682 0.4434  1 Sc 2.04
H3 0.6682 0.3318 0.5566  1 Sc 2.04
H4 0.6682 0.3318 0.9434  1 Sc 2.04

No. 5
A plane-wave DFT calculation with PBE was carried out for ScTa2PH after structural relaxation.

Cell: 3.9877 3.9877 4.4400 Å, 90.00 90.00 90.00°
With the nearest neighbours (Å) after each atom.
Sites, in units of the cell vectors:
Sc1 0.0000 0.0000 0.0000  2 H 2.22
Ta1 0.0000 0.5000 0.5000  2 H 1.99
Ta2 0.5000 0.0000 0.5000  2 H 1.99
P1 0.5000 0.5000 0.0000  4 Sc 2.82, 8 Ta 2.98
H1 0.0000 0.0000 0.5000  4 Ta 1.99, 2 Sc 2.22

No. 6
A plane-wave DFT calculation with PBE was carried out for ScTa2PH after structural relaxation.

Cell: 4.8249 4.8249 4.6790 Å, 90.00 90.00 90.00°
With the nearest neighbours (Å) after each atom.
Sites, in units of the cell vectors:
Sc1 0.0000 0.0000 0.0000  2 P 2.34, 4 Ta 2.41
Ta1 0.0000 0.5000 0.0000  2 Sc 2.41
Ta2 0.5000 0.0000 0.0000  2 Sc 2.41
P1 0.0000 0.0000 0.5000  2 Sc 2.34
H1 0.5000 0.5000 0.5000  8 Ta 3.36, 4 P 3.41

For each record above, in turn, the calculated N(E_F) values are 8.73; 0.09; 7.34; 0.26; 4.23; 4.11 states/eV/f.u..
For each record above, in turn, the calculated VASP energy values are -0.2426; -0.2113; -0.2460; -0.1827; -0.2918; -0.2073 hartree per atom.
For each record above, in turn, the calculated M_tot values are 0.0; 0.0; 0.0; 0.0; 0.0; 0.0 Bohr magnetons per cell.